<P>
# CuBiP3 (PBE, optimized geometry)
data_CuBiP3
_chemical_formula_sum 'Cu1 Bi1 P3'
_cell_length_a 5.2496
_cell_length_b 5.2496
_cell_length_c 5.2496
_cell_angle_alpha 90.00
_cell_angle_beta 90.00
_cell_angle_gamma 90.00
_space_group_name_H-M_alt 'P m -3 m'
_space_group_IT_number 221
_space_group_name_Hall '-P 4 2 3'
loop_
_atom_site_label
_atom_site_fract_x
_atom_site_fract_y
_atom_site_fract_z
Cu1 0.0000 0.0000 0.0000
Bi1 0.5000 0.5000 0.5000
P1 0.0000 0.5000 0.5000
# **Crystal system**: cubic
# **Mass density**: 4.2 Mg/m³
# **DOS(E_F)**: 1.02 states/eV per atom

---

<Q>
# CuBiP3 (PBE, optimized geometry)
data_CuBiP3
_chemical_formula_sum 'Cu1 Bi1 P3'
_cell_length_a 4.5986
_cell_length_b 4.5986
_cell_length_c 4.5986
_cell_angle_alpha 90.00
_cell_angle_beta 90.00
_cell_angle_gamma 90.00
_space_group_name_H-M_alt 'P m -3 m'
_space_group_IT_number 221
_space_group_name_Hall '-P 4 2 3'
loop_
_atom_site_label
_atom_site_fract_x
_atom_site_fract_y
_atom_site_fract_z
Cu1 0.0000 0.0000 0.0000
Bi1 0.5000 0.5000 0.5000
P1 0.0000 0.0000 0.5000
# **Crystal system**: cubic
# **Mass density**: 6.2 Mg/m³
# **DOS(E_F)**: 1.07 states/eV per atom

---

The most stable arrangement is <Q>, and the next structure is 1.035 eV/atom less stable.

---

<P>
# CuBiP2S (PBE, optimized geometry)
data_CuBiP2S
_chemical_formula_sum 'Cu1 Bi1 P2 S1'
_cell_length_a 4.5222
_cell_length_b 4.5222
_cell_length_c 4.7710
_cell_angle_alpha 90.00
_cell_angle_beta 90.00
_cell_angle_gamma 90.00
_space_group_name_H-M_alt 'P 4/m m m'
_space_group_IT_number 123
_space_group_name_Hall '-P 4 2'
loop_
_atom_site_label
_atom_site_fract_x
_atom_site_fract_y
_atom_site_fract_z
Cu1 0.0000 0.0000 0.0000
Bi1 0.5000 0.5000 0.5000
P1 0.0000 0.5000 0.0000
S1 0.0000 0.0000 0.5000
# **Crystal system**: tetragonal
# **Mass density**: 6.2 Mg/m³
# **DOS(E_F)**: 1.05 states/eV per atom

---

<Q>
# CuBiP2S (PBE, optimized geometry)
data_CuBiP2S
_chemical_formula_sum 'Cu1 Bi1 P2 S1'
_cell_length_a 5.3151
_cell_length_b 5.3151
_cell_length_c 5.2139
_cell_angle_alpha 90.00
_cell_angle_beta 90.00
_cell_angle_gamma 90.00
_space_group_name_H-M_alt 'P 4/m m m'
_space_group_IT_number 123
_space_group_name_Hall '-P 4 2'
loop_
_atom_site_label
_atom_site_fract_x
_atom_site_fract_y
_atom_site_fract_z
Cu1 0.0000 0.0000 0.0000
Bi1 0.5000 0.5000 0.5000
P1 0.0000 0.5000 0.5000
S1 0.5000 0.5000 0.0000
# **Crystal system**: tetragonal
# **Mass density**: 4.1 Mg/m³
# **DOS(E_F)**: 0.84 states/eV per atom

---

The most stable arrangement is <P>, and the next structure is 0.882 eV/atom less stable.

---

<P>
# CuBiPS2 (PBE, optimized geometry)
data_CuBiPS2
_chemical_formula_sum 'Cu1 Bi1 P1 S2'
_cell_length_a 5.2224
_cell_length_b 5.2224
_cell_length_c 5.3453
_cell_angle_alpha 90.00
_cell_angle_beta 90.00
_cell_angle_gamma 90.00
_space_group_name_H-M_alt 'P 4/m m m'
_space_group_IT_number 123
_space_group_name_Hall '-P 4 2'
loop_
_atom_site_label
_atom_site_fract_x
_atom_site_fract_y
_atom_site_fract_z
Cu1 0.0000 0.0000 0.0000
Bi1 0.5000 0.5000 0.5000
P1 0.5000 0.5000 0.0000
S1 0.0000 0.5000 0.5000
# **Crystal system**: tetragonal
# **Mass density**: 4.2 Mg/m³
# **DOS(E_F)**: 0.73 states/eV per atom

---

<Q>
# CuBiPS2 (PBE, optimized geometry)
data_CuBiPS2
_chemical_formula_sum 'Cu1 Bi1 P1 S2'
_cell_length_a 4.6410
_cell_length_b 4.6410
_cell_length_c 4.5041
_cell_angle_alpha 90.00
_cell_angle_beta 90.00
_cell_angle_gamma 90.00
_space_group_name_H-M_alt 'P 4/m m m'
_space_group_IT_number 123
_space_group_name_Hall '-P 4 2'
loop_
_atom_site_label
_atom_site_fract_x
_atom_site_fract_y
_atom_site_fract_z
Cu1 0.0000 0.0000 0.0000
Bi1 0.5000 0.5000 0.5000
P1 0.0000 0.0000 0.5000
S1 0.0000 0.5000 0.0000
# **Crystal system**: tetragonal
# **Mass density**: 6.3 Mg/m³
# **DOS(E_F)**: 0.57 states/eV per atom

---

The most stable arrangement is <Q>, and the next structure is 0.770 eV/atom less stable.

---

<P>
# PaCuBi2 (PBE, optimized geometry)
data_PaCuBi2
_chemical_formula_sum 'Pa1 Cu1 Bi2'
_cell_length_a 3.9868
_cell_length_b 3.9868
_cell_length_c 6.4211
_cell_angle_alpha 90.00
_cell_angle_beta 90.00
_cell_angle_gamma 90.00
_space_group_name_H-M_alt 'P 4/m m m'
_space_group_IT_number 123
_space_group_name_Hall '-P 4 2'
loop_
_atom_site_label
_atom_site_fract_x
_atom_site_fract_y
_atom_site_fract_z
Pa1 0.0000 0.0000 0.0000
Cu1 0.0000 0.0000 0.5000
Bi1 0.5000 0.5000 0.2584
# **Crystal system**: tetragonal
# **Mass density**: 11.6 Mg/m³
# **DOS(E_F)**: 1.02 states/eV per atom

---

<Q>
# PaCuBi2 (PBE, optimized geometry)
data_PaCuBi2
_chemical_formula_sum 'Pa1 Cu1 Bi2'
_cell_length_a 4.8836
_cell_length_b 4.8836
_cell_length_c 4.1589
_cell_angle_alpha 90.00
_cell_angle_beta 90.00
_cell_angle_gamma 90.00
_space_group_name_H-M_alt 'P 4/m m m'
_space_group_IT_number 123
_space_group_name_Hall '-P 4 2'
loop_
_atom_site_label
_atom_site_fract_x
_atom_site_fract_y
_atom_site_fract_z
Pa1 0.0000 0.0000 0.0000
Cu1 0.5000 0.5000 0.0000
Bi1 0.0000 0.5000 0.5000
# **Crystal system**: tetragonal
# **Mass density**: 11.9 Mg/m³
# **DOS(E_F)**: 0.76 states/eV per atom

---

<R>
# PaCuBi2 (PBE, optimized geometry)
data_PaCuBi2
_chemical_formula_sum 'Pa3 Cu3 Bi6'
_cell_length_a 3.3645
_cell_length_b 3.3645
_cell_length_c 32.0130
_cell_angle_alpha 90.00
_cell_angle_beta 90.00
_cell_angle_gamma 120.00
_space_group_name_H-M_alt 'R -3 m'
_space_group_IT_number 166
_space_group_name_Hall '-R 3 2"'
loop_
_atom_site_label
_atom_site_fract_x
_atom_site_fract_y
_atom_site_fract_z
Pa1 0.0000 0.0000 0.0000
Cu1 0.0000 0.0000 0.5000
Bi1 0.0000 0.0000 0.1012
# **Crystal system**: trigonal
# **Mass density**: 11.3 Mg/m³
# **DOS(E_F)**: 1.38 states/eV per atom

---

The most stable arrangement is <Q>, and the next structure is 0.211 eV/atom less stable.

---

<P>
# Pa2CuBi (PBE, optimized geometry)
data_Pa2CuBi
_chemical_formula_sum 'Pa6 Cu3 Bi3'
_cell_length_a 4.1870
_cell_length_b 4.1870
_cell_length_c 21.2865
_cell_angle_alpha 90.00
_cell_angle_beta 90.00
_cell_angle_gamma 120.00
_space_group_name_H-M_alt 'R -3 m'
_space_group_IT_number 166
_space_group_name_Hall '-R 3 2"'
loop_
_atom_site_label
_atom_site_fract_x
_atom_site_fract_y
_atom_site_fract_z
Pa1 0.0000 0.0000 0.2336
Cu1 0.0000 0.0000 0.5000
Bi1 0.0000 0.0000 0.0000
# **Crystal system**: trigonal
# **Mass density**: 11.3 Mg/m³
# **DOS(E_F)**: 2.09 states/eV per atom

---

<Q>
# Pa2CuBi (PBE, optimized geometry)
data_Pa2CuBi
_chemical_formula_sum 'Pa2 Cu1 Bi1'
_cell_length_a 4.3326
_cell_length_b 4.3326
_cell_length_c 4.9045
_cell_angle_alpha 90.00
_cell_angle_beta 90.00
_cell_angle_gamma 90.00
_space_group_name_H-M_alt 'P 4/m m m'
_space_group_IT_number 123
_space_group_name_Hall '-P 4 2'
loop_
_atom_site_label
_atom_site_fract_x
_atom_site_fract_y
_atom_site_fract_z
Pa1 0.0000 0.5000 0.0000
Cu1 0.0000 0.0000 0.5000
Bi1 0.5000 0.5000 0.5000
# **Crystal system**: tetragonal
# **Mass density**: 13.2 Mg/m³
# **DOS(E_F)**: 1.69 states/eV per atom

---

The most stable arrangement is <Q>, and the next structure is 0.116 eV/atom less stable.

---

<P>
# CuBi2Pb2 (PBE, optimized geometry)
data_CuBi2Pb2
_chemical_formula_sum 'Cu2 Bi4 Pb4'
_cell_length_a 7.0613
_cell_length_b 7.0613
_cell_length_c 5.8670
_cell_angle_alpha 90.00
_cell_angle_beta 90.00
_cell_angle_gamma 90.00
_space_group_name_H-M_alt 'P 4/m b m'
_space_group_IT_number 127
_space_group_name_Hall '-P 4 2ab'
loop_
_atom_site_label
_atom_site_fract_x
_atom_site_fract_y
_atom_site_fract_z
Cu1 0.0000 0.0000 0.0000
Bi1 0.1748 0.3252 0.5000
Pb1 0.1589 0.6589 0.0000
# **Crystal system**: tetragonal
# **Mass density**: 10.2 Mg/m³
# **DOS(E_F)**: 0.54 states/eV per atom

---

<Q>
# CuBi2Pb2 (PBE, optimized geometry)
data_CuBi2Pb2
_chemical_formula_sum 'Cu2 Bi4 Pb4'
_cell_length_a 7.1278
_cell_length_b 7.1278
_cell_length_c 5.9167
_cell_angle_alpha 90.00
_cell_angle_beta 90.00
_cell_angle_gamma 90.00
_space_group_name_H-M_alt 'P 4/m b m'
_space_group_IT_number 127
_space_group_name_Hall '-P 4 2ab'
loop_
_atom_site_label
_atom_site_fract_x
_atom_site_fract_y
_atom_site_fract_z
Cu1 0.0000 0.0000 0.0000
Bi1 0.1552 0.3448 0.0000
Pb1 0.1899 0.6899 0.5000
# **Crystal system**: tetragonal
# **Mass density**: 9.9 Mg/m³
# **DOS(E_F)**: 0.55 states/eV per atom

---

The most stable arrangement is <Q>, and the next structure is 0.081 eV/atom less stable.

---

<P>
# CuBi3PbS6 (PBE, optimized geometry)
data_CuBi3PbS6
_chemical_formula_sum 'Cu2 Bi6 Pb2 S12'
_cell_length_a 4.0449
_cell_length_b 11.1719
_cell_length_c 11.8653
_cell_angle_alpha 90.00
_cell_angle_beta 90.00
_cell_angle_gamma 90.00
_space_group_name_H-M_alt 'P m c 21'
_space_group_IT_number 26
loop_
_space_group_symop_operation_xyz
'x,y,z'
'-x,-y,z+1/2'
'-x,y,z'
'x,-y,z+1/2'
loop_
_atom_site_label
_atom_site_fract_x
_atom_site_fract_y
_atom_site_fract_z
Cu1 0.0000 0.0439 0.0000
Bi1 0.0000 0.4253 0.2874
Bi2 0.5000 0.0705 0.2539
Bi3 0.5000 0.2841 0.9158
Pb1 0.0000 0.2403 0.5926
S1 0.0000 0.1184 0.8173
S2 0.0000 0.1914 0.1479
S3 0.0000 0.4406 0.9773
S4 0.5000 0.0474 0.5534
S5 0.5000 0.3004 0.3885
S6 0.5000 0.3915 0.7191
# **Crystal system**: orthorhombic
# **Mass density**: 6.8 Mg/m³

---

<Q>
# CuBi3PbS6 (PBE, optimized geometry)
data_CuBi3PbS6
_chemical_formula_sum 'Cu2 Bi6 Pb2 S12'
_cell_length_a 4.0498
_cell_length_b 11.7324
_cell_length_c 11.2635
_cell_angle_alpha 90.00
_cell_angle_beta 90.00
_cell_angle_gamma 90.00
_space_group_name_H-M_alt 'P m n 21'
_space_group_IT_number 31
loop_
_space_group_symop_operation_xyz
'x,y,z'
'-x+1/2,-y,z+1/2'
'-x,y,z'
'x+1/2,-y,z+1/2'
loop_
_atom_site_label
_atom_site_fract_x
_atom_site_fract_y
_atom_site_fract_z
Cu1 0.0000 0.0090 0.0000
Bi1 0.0000 0.2446 0.5290
Bi2 0.0000 0.4058 0.1825
Bi3 0.0000 0.7222 0.3838
Pb1 0.0000 0.9140 0.7265
S1 0.0000 0.0354 0.4126
S2 0.0000 0.2029 0.0610
S3 0.0000 0.3774 0.7562
S4 0.0000 0.5378 0.5214
S5 0.0000 0.7015 0.8340
S6 0.0000 0.8635 0.1469
# **Crystal system**: orthorhombic
# **Mass density**: 6.8 Mg/m³

---

<R>
# CuBi3PbS6 (PBE, optimized geometry)
data_CuBi3PbS6
_chemical_formula_sum 'Cu2 Bi6 Pb2 S12'
_cell_length_a 4.0473
_cell_length_b 11.3687
_cell_length_c 11.8682
_cell_angle_alpha 90.00
_cell_angle_beta 90.00
_cell_angle_gamma 90.00
_space_group_name_H-M_alt 'P m c 21'
_space_group_IT_number 26
loop_
_space_group_symop_operation_xyz
'x,y,z'
'-x,-y,z+1/2'
'-x,y,z'
'x,-y,z+1/2'
loop_
_atom_site_label
_atom_site_fract_x
_atom_site_fract_y
_atom_site_fract_z
Cu1 0.0000 0.0426 0.0000
Bi1 0.0000 0.2337 0.6228
Bi2 0.0000 0.4245 0.2907
Bi3 0.5000 0.0739 0.2420
Pb1 0.5000 0.2906 0.9371
S1 0.0000 0.1007 0.8075
S2 0.0000 0.1933 0.1341
S3 0.0000 0.4553 0.9771
S4 0.5000 0.0532 0.5440
S5 0.5000 0.2982 0.3769
S6 0.5000 0.3725 0.7101
# **Crystal system**: orthorhombic
# **Mass density**: 6.6 Mg/m³

---

The most stable arrangement is <P>, and the next structure is 0.015 eV/atom less stable.

---

<P>
# CuBiPd3 (PBE, optimized geometry)
data_CuBiPd3
_chemical_formula_sum 'Cu4 Bi4 Pd12'
_cell_length_a 7.5502
_cell_length_b 7.9559
_cell_length_c 6.2995
_cell_angle_alpha 90.00
_cell_angle_beta 113.73
_cell_angle_gamma 90.00
_space_group_name_H-M_alt 'P 1 21/c 1'
_space_group_IT_number 14
loop_
_space_group_symop_operation_xyz
'x,y,z'
'-x,-y,-z'
'-x,y+1/2,-z+1/2'
'x,-y+1/2,z+1/2'
loop_
_atom_site_label
_atom_site_fract_x
_atom_site_fract_y
_atom_site_fract_z
Cu1 0.0640 0.2281 0.0328
Bi1 0.3302 0.5880 0.1809
Pd1 0.0172 0.5027 0.7825
Pd2 0.3080 0.5616 0.6283
Pd3 0.3726 0.2263 0.4439
# **Crystal system**: monoclinic
# **Mass density**: 11.3 Mg/m³
# **DOS(E_F)**: 0.49 states/eV per atom

---

<Q>
# CuBiPd3 (PBE, optimized geometry)
data_CuBiPd3
_chemical_formula_sum 'Cu4 Bi4 Pd12'
_cell_length_a 16.5058
_cell_length_b 4.7731
_cell_length_c 4.7764
_cell_angle_alpha 90.00
_cell_angle_beta 101.66
_cell_angle_gamma 90.00
_space_group_name_H-M_alt 'C 1 2/m 1'
_space_group_IT_number 12
loop_
_space_group_symop_operation_xyz
'x,y,z'
'-x,-y,-z'
'-x,y,-z'
'x,-y,z'
'x+1/2,y+1/2,z'
'-x+1/2,-y+1/2,-z'
'-x+1/2,y+1/2,-z'
'x+1/2,-y+1/2,z'
loop_
_atom_site_label
_atom_site_fract_x
_atom_site_fract_y
_atom_site_fract_z
Cu1 0.1277 0.0000 0.3536
Bi1 0.1114 0.5000 0.9828
Pd1 0.0379 0.0000 0.7745
Pd2 0.2030 0.5000 0.5465
Pd3 0.2082 0.0000 0.8877
# **Crystal system**: monoclinic
# **Mass density**: 10.7 Mg/m³
# **DOS(E_F)**: 0.60 states/eV per atom

---

The most stable arrangement is <P>, and the next structure is 0.058 eV/atom less stable.